A relaxed ErInCuRu crystal, computed with GGA-PBE.

Lattice parameters (Å, degrees): 4.6905 4.6905 4.6905 60.00 60.00 60.00
Fractional positions:
Er: 0.0000 0.0000 0.0000
In: 0.5000 0.5000 0.5000
Cu: 0.7500 0.7500 0.7500
Ru: 0.2500 0.2500 0.2500

Computed properties:
E_tot in eV per atom: -5.37
Symmetry: F-43m (216)
Energy of formation in meV/atom: -204



A relaxed ReSiBr crystal, computed with GGA-PBE.

Lattice parameters (Å, degrees): 6.8834 6.5344 3.0985 83.03 70.44 26.54
Fractional positions:
Re: 0.0000 0.0000 0.0000
Si: 0.3596 0.3596 0.6404
Br: 0.6728 0.6728 0.3272

Computed properties:
E_tot in eV per atom: -5.74
Energy relative to the elements, uncorrected in kcal/mol of atoms: 17.927
Symmetry: Fmm2 (42)



A relaxed HgPIr3 crystal, computed with GGA-PBE.

Lattice parameters (Å, degrees): 4.9245 4.9245 4.9245 90.00 90.00 90.00
Fractional positions:
Hg: 0.0000 0.0000 0.0000
P: 0.5000 0.5000 0.5000
Ir: 0.0000 0.0000 0.5000
Ir: 0.0000 0.5000 0.0000
Ir: 0.5000 0.0000 0.0000

Computed properties:
E_tot in eV per atom: -3.73
Symmetry: Pm-3m (221)
Energy of formation in meV/atom: 2728



A relaxed NiAs3Ir crystal, computed with GGA-PBE.

Lattice parameters (Å, degrees): 4.4916 4.4916 4.4916 90.00 90.00 90.00
Fractional positions:
Ni: 0.0000 0.0000 0.0000
As: 0.0000 0.0000 0.5000
As: 0.0000 0.5000 0.0000
As: 0.5000 0.0000 0.0000
Ir: 0.5000 0.5000 0.5000

Computed properties:
E_tot in eV per atom: -5.00
Symmetry: Pm-3m (221)
Energy of formation in meV/atom: 714



A relaxed LaSi2Ru crystal, computed with GGA-PBE.

Lattice parameters (Å, degrees): 3.1063 3.1063 7.2436 90.00 90.00 90.00
Fractional positions:
La: 0.0000 0.0000 0.0000
Si: 0.5000 0.5000 0.3104
Si: 0.5000 0.5000 0.6896
Ru: 0.0000 0.0000 0.5000

Computed properties:
E_tot in eV per atom: -6.68
Energy relative to the elements, uncorrected in kcal/mol of atoms: -9.735
Symmetry: P4/mmm (123)



A relaxed SrSb2W2 crystal, computed with GGA-PBE.

Lattice parameters (Å, degrees): 8.5315 8.5315 8.5315 153.41 153.41 37.95
Fractional positions:
Sr: 0.0000 0.0000 0.0000
Sb: 0.3749 0.3749 0.0000
Sb: 0.6251 0.6251 0.0000
W: 0.2500 0.7500 0.5000
W: 0.7500 0.2500 0.5000

Computed properties:
E_tot in eV per atom: -7.14
Energy relative to the elements, uncorrected in kcal/mol of atoms: 0.504
Symmetry: I4/mmm (139)



> Look up the E_tot of the sixth one.

-7.14 eV per atom



> Among the records above, which one has the lowest E_tot?

SrSb2W2